{
  "formula": "UCoIr",
  "functional": "PBE",
  "state": "relaxed",
  "de_polymorph_ev_per_fu": 0.000,
  "magnetic_moment_mub_per_atom": 0.323,
  "spacegroup": "Imma (74)",
  "dos_ef_per_ev_atom": 1.436,
  "energy_ev_per_atom": -9.508,
  "cell": [[4.353, 0.000, 2.444], [1.547, 4.286, 2.344], [-0.014, 0.018, 5.124]],
  "species": ["U", "U", "Co", "Co", "Ir", "Ir"],
  "frac_coords": [[0.874, 0.376, 0.376], [0.126, 0.624, 0.624], [0.000, 0.000, 0.000], [0.500, 0.000, 0.000], [0.500, 0.500, 0.000], [0.500, 0.000, 0.500]]
}

=====

{
  "formula": "Ac2Ni2Ge2N",
  "functional": "PBE",
  "state": "relaxed",
  "e_form_raw_ev_per_atom": -0.67,
  "magnetic_moment_mub_per_atom": 0.000,
  "spacegroup": "C2/m (12)",
  "dos_ef_per_ev_atom": 0.559,
  "energy_ev_per_atom": -6.002,
  "cell": [[-4.086, 0.275, -0.717], [-3.133, -3.098, 4.614], [-2.502, 4.087, 3.774]],
  "species": ["Ac", "Ac", "Ni", "Ni", "Ge", "Ge", "N"],
  "frac_coords": [[0.551, 0.185, 0.713], [0.449, 0.815, 0.287], [0.190, 0.733, 0.886], [0.810, 0.267, 0.114], [0.187, 0.394, 0.232], [0.813, 0.606, 0.768], [0.000, 0.000, 0.000]]
}

=====

{
  "formula": "NdEr6Sc",
  "functional": "PBE",
  "state": "relaxed",
  "de_polymorph_ev_per_fu": 1.487,
  "magnetic_moment_mub_per_atom": 0.000,
  "spacegroup": "C2/m (12)",
  "dos_ef_per_ev_atom": 1.281,
  "energy_ev_per_atom": -4.590,
  "cell": [[-2.783, 5.856, 0.620], [-2.903, -5.252, 2.532], [8.935, 0.344, 2.557]],
  "species": ["Nd", "Er", "Er", "Er", "Er", "Er", "Er", "Sc"],
  "frac_coords": [[0.500, 0.500, 0.500], [0.202, 0.202, 0.756], [0.696, 0.249, 0.245], [0.798, 0.798, 0.244], [0.751, 0.304, 0.755], [0.304, 0.751, 0.755], [0.249, 0.696, 0.245], [0.000, 0.000, 0.000]]
}

=====

{
  "formula": "Dy3GeRh8",
  "functional": "PBE",
  "state": "relaxed",
  "magnetic_moment_mub_per_atom": 0.000,
  "spacegroup": "R3m (160)",
  "dos_ef_per_ev_atom": 0.654,
  "energy_ev_per_atom": -7.020,
  "cell": [[5.092, 0.000, 1.510], [2.322, 4.532, 1.510], [0.048, 0.029, 9.177]],
  "species": ["Dy", "Dy", "Dy", "Ge", "Rh", "Rh", "Rh", "Rh", "Rh", "Rh", "Rh", "Rh"],
  "frac_coords": [[0.623, 0.623, 0.131], [0.011, 0.011, 0.967], [0.493, 0.493, 0.522], [0.142, 0.142, 0.573], [0.561, 0.060, 0.819], [0.059, 0.562, 0.319], [0.561, 0.561, 0.819], [0.059, 0.059, 0.319], [0.809, 0.809, 0.573], [0.310, 0.310, 0.069], [0.060, 0.561, 0.819], [0.562, 0.059, 0.319]]
}